Entry 1:
PrSm2ScTl2 | PBE | relaxed

The structure in CIF format:
```
data_PrSm2ScTl2
_chemical_formula_sum 'Pr2 Sm4 Sc2 Tl4'
_symmetry_space_group_name_H-M 'P m c 21'
_symmetry_Int_Tables_number 26
_cell_length_a 5.0519
_cell_length_b 9.9846
_cell_length_c 7.0504
_cell_angle_alpha 90.00
_cell_angle_beta 90.00
_cell_angle_gamma 90.00
loop_
_symmetry_equiv_pos_as_xyz
'x,y,z'
'-x,-y,z+1/2'
'-x,y,z'
'x,-y,z+1/2'
loop_
_atom_site_label
_atom_site_fract_x
_atom_site_fract_y
_atom_site_fract_z
Pr1 0.0000 0.0484 0.0000
Sm1 0.0000 0.3165 0.3869
Sm2 0.5000 0.4489 0.0961
Sc1 0.5000 0.1945 0.7085
Tl1 0.0000 0.3580 0.8340
Tl2 0.5000 0.1214 0.2784
```

* E: -4.47 eV/atom
* energy of formation: -0.25 eV/atom



Entry 2:
Ho5Tm2Sc12 | PBE | relaxed

The structure in CIF format:
```
data_Ho5Tm2Sc12
_chemical_formula_sum 'Ho10 Tm4 Sc24'
_symmetry_space_group_name_H-M 'C 1 2/m 1'
_symmetry_Int_Tables_number 12
_cell_length_a 14.6013
_cell_length_b 8.6407
_cell_length_c 8.2117
_cell_angle_alpha 90.00
_cell_angle_beta 93.14
_cell_angle_gamma 90.00
loop_
_symmetry_equiv_pos_as_xyz
'x,y,z'
'-x,-y,-z'
'-x,y,-z'
'x,-y,z'
'x+1/2,y+1/2,z'
'-x+1/2,-y+1/2,-z'
'-x+1/2,y+1/2,-z'
'x+1/2,-y+1/2,z'
loop_
_atom_site_label
_atom_site_fract_x
_atom_site_fract_y
_atom_site_fract_z
Ho1 0.0000 0.0000 0.0000
Ho2 0.2129 0.5000 0.5160
Ho3 0.2347 0.0000 0.0733
Tm1 0.0000 0.3225 0.5000
Sc1 0.0523 0.5000 0.8375
Sc2 0.0683 0.0000 0.3706
Sc3 0.1296 0.3110 0.1682
Sc4 0.1466 0.1780 0.7470
```

* E: -5.55 eV/atom
* energy of formation: 0.13 eV/atom